[1]
## ZrTc2I (meta-GGA SCAN)

Data for a crystal of ZrTc2I relaxed with PBEsol.

Lattice parameters (Å, degrees): 6.506 6.506 6.506 90.00 90.00 90.00
Space group Fm-3m (No. 225)
Unique sites:
Zr 0.000 0.000 0.000 [4 per cell]
Tc 0.250 0.250 0.250 [8 per cell]
I 0.000 0.000 0.500 [4 per cell]

The calculation puts the total moment at 0.00 μB per formula unit. As for the uncorrected formation energy: 0.412 eV/atom. The theoretical density is 10.0 g/cm3.

[2]
## ZrTcI3 (meta-GGA SCAN)

Data for a crystal of ZrTcI3 relaxed with PBEsol.

Lattice parameters (Å, degrees): 5.620 5.620 5.620 90.00 90.00 90.00
Space group Pm-3m (No. 221)
Unique sites:
Zr 0.000 0.000 0.000 [1 per cell]
Tc 0.500 0.500 0.500 [1 per cell]
I 0.000 0.000 0.500 [3 per cell]

The calculation puts the total moment at 4.27 μB per formula unit. As for the uncorrected formation energy: 0.558 eV/atom. The theoretical density is 5.3 g/cm3.

[3]
## TeI4 (meta-GGA SCAN)

Data for a crystal of TeI4 relaxed with PBEsol.

Lattice parameters (Å, degrees): 11.170 13.510 22.106 90.00 98.55 90.00
Space group P2_1/c (No. 14)
Unique sites:
Te 0.046 0.160 0.191 [4 per cell]
Te 0.177 0.172 0.396 [4 per cell]
Te 0.232 0.647 0.167 [4 per cell]
Te 0.359 0.650 0.373 [4 per cell]
I 0.019 0.713 0.698 [4 per cell]
I 0.051 0.534 0.085 [4 per cell]
I 0.076 0.033 0.093 [4 per cell]
I 0.122 0.209 0.991 [4 per cell]
I 0.138 0.714 0.886 [4 per cell]
I 0.171 0.521 0.285 [4 per cell]
I 0.206 0.036 0.276 [4 per cell]
I 0.226 0.206 0.673 [4 per cell]
I 0.271 0.720 0.575 [4 per cell]
I 0.311 0.542 0.477 [4 per cell]
I 0.319 0.031 0.467 [4 per cell]
I 0.362 0.206 0.871 [4 per cell]
I 0.397 0.730 0.757 [4 per cell]
I 0.410 0.510 0.149 [4 per cell]
I 0.456 0.018 0.148 [4 per cell]
I 0.492 0.211 0.558 [4 per cell]

The calculation puts the total moment at 0.00 μB per formula unit. As for the uncorrected formation energy: -0.102 eV/atom. The distance to the lowest polymorph of the same formula is 2 meV/atom. The theoretical density is 5.1 g/cm3.

[4]
## TeI (meta-GGA SCAN)

Data for a crystal of TeI relaxed with PBEsol.

Lattice parameters (Å, degrees): 7.994 8.155 9.804 89.71 76.12 75.46
Space group P-1 (No. 2)
Unique sites:
Te 0.004 0.011 0.304 [2 per cell]
Te 0.006 0.488 0.305 [2 per cell]
Te 0.268 0.686 0.681 [2 per cell]
Te 0.277 0.179 0.210 [2 per cell]
I 0.294 0.177 0.923 [2 per cell]
I 0.297 0.680 0.959 [2 per cell]
I 0.298 0.186 0.565 [2 per cell]
I 0.301 0.666 0.324 [2 per cell]

The calculation puts the total moment at 0.00 μB per formula unit. As for the uncorrected formation energy: -0.055 eV/atom. The distance to the lowest polymorph of the same formula is 20 meV/atom. The theoretical density is 5.6 g/cm3.

[5]
## TeI (meta-GGA SCAN)

Data for a crystal of TeI relaxed with PBEsol.

Lattice parameters (Å, degrees): 15.406 4.178 11.930 90.00 128.79 90.00
Space group C2/m (No. 12)
Unique sites:
Te 0.082 0.000 0.347 [4 per cell]
Te 0.199 0.500 0.317 [4 per cell]
I 0.107 0.000 0.942 [4 per cell]
I 0.157 0.500 0.690 [4 per cell]

The calculation puts the total moment at 0.00 μB per formula unit. As for the uncorrected formation energy: -0.075 eV/atom. The distance to the lowest polymorph of the same formula is 0 meV/atom. The theoretical density is 5.6 g/cm3.

[6]
## Te2I (meta-GGA SCAN)

Data for a crystal of Te2I relaxed with PBEsol.

Lattice parameters (Å, degrees): 15.241 4.104 13.597 90.00 90.00 90.00
Space group Pnma (No. 62)
Unique sites:
Te 0.071 0.250 0.232 [4 per cell]
Te 0.085 0.750 0.085 [4 per cell]
Te 0.187 0.750 0.701 [4 per cell]
Te 0.221 0.250 0.560 [4 per cell]
I 0.053 0.750 0.399 [4 per cell]
I 0.160 0.250 0.875 [4 per cell]

The calculation puts the total moment at 0.00 μB per formula unit. As for the uncorrected formation energy: -0.041 eV/atom. The theoretical density is 6.0 g/cm3.

[7]
## TeI4 (meta-GGA SCAN)

Data for a crystal of TeI4 relaxed with PBEsol.

Lattice parameters (Å, degrees): 13.520 16.701 14.573 90.00 90.00 90.00
Space group Pnma (No. 62)
Unique sites:
Te 0.159 0.109 0.168 [8 per cell]
Te 0.159 0.250 0.436 [4 per cell]
Te 0.162 0.250 0.901 [4 per cell]
I 0.016 0.250 0.766 [4 per cell]
I 0.025 0.250 0.259 [4 per cell]
I 0.031 0.117 0.007 [8 per cell]
I 0.034 0.505 0.248 [8 per cell]
I 0.036 0.127 0.511 [8 per cell]
I 0.204 0.750 0.079 [4 per cell]
I 0.209 0.001 0.593 [8 per cell]
I 0.212 0.750 0.586 [4 per cell]
I 0.216 0.621 0.838 [8 per cell]
I 0.218 0.629 0.331 [8 per cell]

The calculation puts the total moment at 0.00 μB per formula unit. As for the uncorrected formation energy: -0.105 eV/atom. The distance to the lowest polymorph of the same formula is 0 meV/atom. The theoretical density is 5.1 g/cm3.

[8]
## TeI4 (meta-GGA SCAN)

Data for a crystal of TeI4 relaxed with PBEsol.

Lattice parameters (Å, degrees): 16.746 16.746 11.618 90.00 90.00 90.00
Space group I4_1/amd (No. 141, origin choice 2)
Unique sites:
Te 0.000 0.111 0.229 [16 per cell]
I 0.000 0.120 0.505 [16 per cell]
I 0.000 0.127 0.991 [16 per cell]
I 0.125 0.001 0.239 [32 per cell]

The calculation puts the total moment at 0.00 μB per formula unit. As for the uncorrected formation energy: -0.095 eV/atom. The distance to the lowest polymorph of the same formula is 10 meV/atom. The theoretical density is 5.2 g/cm3.

[9]
## TeI2 (meta-GGA SCAN)

Data for a crystal of TeI2 relaxed with PBEsol.

Lattice parameters (Å, degrees): 8.309 8.309 4.047 90.00 90.00 90.00
Space group P4_2/mnm (No. 136)
Unique sites:
Te 0.000 0.000 0.000 [2 per cell]
I 0.186 0.186 0.500 [4 per cell]

The calculation puts the total moment at 0.00 μB per formula unit. As for the uncorrected formation energy: 0.019 eV/atom. The theoretical density is 4.5 g/cm3.

[10]
## TiZnTeI2 (meta-GGA SCAN)

Data for a crystal of TiZnTeI2 relaxed with PBEsol.

Lattice parameters (Å, degrees): 5.470 5.470 5.268 90.00 90.00 90.00
Space group P4/mmm (No. 123)
Unique sites:
Ti 0.000 0.000 0.000 [1 per cell]
Zn 0.500 0.500 0.500 [1 per cell]
Te 0.000 0.000 0.500 [1 per cell]
I 0.000 0.500 0.000 [2 per cell]

The calculation puts the total moment at 0.00 μB per formula unit. As for the uncorrected formation energy: -0.083 eV/atom. The theoretical density is 5.2 g/cm3.

[11]
## Tl2Te2I (meta-GGA SCAN)

Data for a crystal of Tl2Te2I relaxed with PBEsol.

Lattice parameters (Å, degrees): 6.072 6.072 9.604 90.00 90.00 90.00
Space group I4/mmm (No. 139)
Unique sites:
Tl 0.000 0.500 0.250 [4 per cell]
Te 0.000 0.000 0.142 [4 per cell]
I 0.000 0.000 0.500 [2 per cell]

The calculation puts the total moment at 0.00 μB per formula unit. As for the uncorrected formation energy: -0.294 eV/atom. The theoretical density is 7.4 g/cm3.

[12]
## YTlTeI2 (meta-GGA SCAN)

Data for a crystal of YTlTeI2 relaxed with PBEsol.

Lattice parameters (Å, degrees): 5.916 5.916 5.835 90.00 90.00 90.00
Space group P4/mmm (No. 123)
Unique sites:
Y 0.000 0.000 0.000 [1 per cell]
Tl 0.500 0.500 0.500 [1 per cell]
Te 0.000 0.000 0.500 [1 per cell]
I 0.000 0.500 0.000 [2 per cell]

The calculation puts the total moment at 0.00 μB per formula unit. As for the uncorrected formation energy: -1.007 eV/atom. The distance to the lowest polymorph of the same formula is 0 meV/atom. The theoretical density is 5.5 g/cm3.

Among the records above, which one has the highest theoretical density? ZrTc2I

Which of these has the lowest theoretical density? TeI2